Record 1
# PmNd2Hf (PBE-GGA, optimized geometry)
# N(E_F) = 5.5 states/eV/f.u.
# Spin magnetization = 0.00 μB/f.u.
# Polymorph energy (0 for the lowest one) = 213 meV per atom
# Energy relative to the elements = 0.40 eV/atom
data_PmNd2Hf
_space_group_name_H-M_alt 'R -3 m'
_space_group_IT_number 166
_space_group_name_Hall '-R 3 2"'
_cell_length_a 3.4022
_cell_length_b 3.4022
_cell_length_c 37.0606
_cell_angle_alpha 90.00
_cell_angle_beta 90.00
_cell_angle_gamma 120.00
loop_
_atom_site_label
_atom_site_type_symbol
_atom_site_fract_x
_atom_site_fract_y
_atom_site_fract_z
_atom_site_occupancy
Pm1 Pm 0.0000 0.0000 0.0000 1
Nd1 Nd 0.0000 0.0000 0.4159 1
Hf1 Hf 0.0000 0.0000 0.5000 1

***

Record 2
# Pu2SnPd9 (PBE-GGA, optimized geometry)
# N(E_F) = 34.8 states/eV/f.u.
# Spin magnetization = 9.26 μB/f.u.
# Energy relative to the elements = -0.53 eV/atom
data_Pu2SnPd9
_space_group_name_H-M_alt 'P 4/m m m'
_space_group_IT_number 123
_space_group_name_Hall '-P 4 2'
_cell_length_a 4.1215
_cell_length_b 4.1215
_cell_length_c 12.2998
_cell_angle_alpha 90.00
_cell_angle_beta 90.00
_cell_angle_gamma 90.00
loop_
_atom_site_label
_atom_site_type_symbol
_atom_site_fract_x
_atom_site_fract_y
_atom_site_fract_z
_atom_site_occupancy
Pu1 Pu 0.0000 0.0000 0.1692 1
Sn1 Sn 0.0000 0.0000 0.5000 1
Pd1 Pd 0.0000 0.5000 0.0000 1
Pd2 Pd 0.0000 0.5000 0.3393 1
Pd3 Pd 0.5000 0.5000 0.1716 1
Pd4 Pd 0.5000 0.5000 0.5000 1

***

Record 3
# Be2Sb5Pd12 (PBE-GGA, optimized geometry)
# N(E_F) = 8.9 states/eV/f.u.
# Spin magnetization = 0.00 μB/f.u.
# ΔE_f (raw) = -333 meV/atom
data_Be2Sb5Pd12
_space_group_name_H-M_alt 'C 1 2/m 1'
_space_group_IT_number 12
_cell_length_a 14.1082
_cell_length_b 5.9192
_cell_length_c 8.3639
_cell_angle_alpha 90.00
_cell_angle_beta 100.44
_cell_angle_gamma 90.00
loop_
_space_group_symop_operation_xyz
'x,y,z'
'-x,-y,-z'
'-x,y,-z'
'x,-y,z'
'x+1/2,y+1/2,z'
'-x+1/2,-y+1/2,-z'
'-x+1/2,y+1/2,-z'
'x+1/2,-y+1/2,z'
loop_
_atom_site_label
_atom_site_type_symbol
_atom_site_fract_x
_atom_site_fract_y
_atom_site_fract_z
_atom_site_occupancy
Be1 Be 0.0000 0.2013 0.0000 1
Sb1 Sb 0.0000 0.5000 0.5000 1
Sb2 Sb 0.1927 0.0000 0.9082 1
Sb3 Sb 0.1939 0.0000 0.4011 1
Pd1 Pd 0.0009 0.0000 0.2431 1
Pd2 Pd 0.0342 0.5000 0.8410 1
Pd3 Pd 0.1500 0.2661 0.1428 1
Pd4 Pd 0.1507 0.2553 0.6408 1

***

Record 4
# Ca2TmCu (PBE-GGA, optimized geometry)
# N(E_F) = 4.5 states/eV/f.u.
# Spin magnetization = 0.55 μB/f.u.
# Energy relative to the elements = 0.29 eV/atom
data_Ca2TmCu
_space_group_name_H-M_alt 'R -3 m'
_space_group_IT_number 166
_space_group_name_Hall '-R 3 2"'
_cell_length_a 3.6554
_cell_length_b 3.6554
_cell_length_c 32.7024
_cell_angle_alpha 90.00
_cell_angle_beta 90.00
_cell_angle_gamma 120.00
loop_
_atom_site_label
_atom_site_type_symbol
_atom_site_fract_x
_atom_site_fract_y
_atom_site_fract_z
_atom_site_occupancy
Ca1 Ca 0.0000 0.0000 0.1059 1
Tm1 Tm 0.0000 0.0000 0.0000 1
Cu1 Cu 0.0000 0.0000 0.5000 1

***

Record 5
# AlHSe2 (PBE-GGA, optimized geometry)
# N(E_F) = 0.0 states/eV/f.u.
# Spin magnetization = 0.00 μB/f.u.
# Polymorph energy (0 for the lowest one) = 10 meV per atom
data_AlHSe2
_space_group_name_H-M_alt 'C 1 m 1'
_space_group_IT_number 8
_cell_length_a 12.7952
_cell_length_b 6.1900
_cell_length_c 5.4969
_cell_angle_alpha 90.00
_cell_angle_beta 115.08
_cell_angle_gamma 90.00
loop_
_space_group_symop_operation_xyz
'x,y,z'
'x,-y,z'
'x+1/2,y+1/2,z'
'x+1/2,-y+1/2,z'
loop_
_atom_site_label
_atom_site_type_symbol
_atom_site_fract_x
_atom_site_fract_y
_atom_site_fract_z
_atom_site_occupancy
Al1 Al 0.0000 0.2483 0.0000 1
H1 H 0.2834 0.5000 0.7483 1
H2 H 0.4586 0.0000 0.4047 1
Se1 Se 0.0974 0.5000 0.8405 1
Se2 Se 0.1024 0.0000 0.3453 1
Se3 Se 0.3715 0.5000 0.6340 1
Se4 Se 0.3730 0.0000 0.1043 1

***

Record 6
# KLi2Al (PBE-GGA, optimized geometry)
# N(E_F) = 1.4 states/eV/f.u.
# Spin magnetization = 0.00 μB/f.u.
# Energy relative to the elements = 0.14 eV/atom
data_KLi2Al
_space_group_name_H-M_alt 'P 4 m m'
_space_group_IT_number 99
_cell_length_a 3.5167
_cell_length_b 3.5167
_cell_length_c 8.7352
_cell_angle_alpha 90.00
_cell_angle_beta 90.00
_cell_angle_gamma 90.00
loop_
_space_group_symop_operation_xyz
'x,y,z'
'-y,x,z'
'-x,-y,z'
'y,-x,z'
'-x,y,z'
'y,x,z'
'x,-y,z'
'-y,-x,z'
loop_
_atom_site_label
_atom_site_type_symbol
_atom_site_fract_x
_atom_site_fract_y
_atom_site_fract_z
_atom_site_occupancy
K1 K 0.0000 0.0000 0.0000 1
Li1 Li 0.0000 0.0000 0.5538 1
Li2 Li 0.5000 0.5000 0.3678 1
Al1 Al 0.5000 0.5000 0.6967 1

***

Record 7
# K2LaFe (PBE-GGA, optimized geometry)
# N(E_F) = 6.3 states/eV/f.u.
# Spin magnetization = 1.60 μB/f.u.
# Polymorph energy (0 for the lowest one) = 392 meV per atom
# Energy relative to the elements = 0.85 eV/atom
data_K2LaFe
_space_group_name_H-M_alt 'P 1 2/m 1'
_space_group_IT_number 10
_cell_length_a 4.1398
_cell_length_b 6.9034
_cell_length_c 5.0086
_cell_angle_alpha 90.00
_cell_angle_beta 95.65
_cell_angle_gamma 90.00
loop_
_space_group_symop_operation_xyz
'x,y,z'
'-x,-y,-z'
'-x,y,-z'
'x,-y,z'
loop_
_atom_site_label
_atom_site_type_symbol
_atom_site_fract_x
_atom_site_fract_y
_atom_site_fract_z
_atom_site_occupancy
K1 K 0.2262 0.0000 0.2697 1
La1 La 0.5000 0.5000 0.0000 1
Fe1 Fe 0.0000 0.5000 0.5000 1

***

Record 8
# Y2GaBr (PBE-GGA, optimized geometry)
# N(E_F) = 0.3 states/eV/f.u.
# Spin magnetization = 0.00 μB/f.u.
# ΔE_f (raw) = -624 meV/atom
# Polymorph energy (0 for the lowest one) = 221 meV per atom
data_Y2GaBr
_space_group_name_H-M_alt 'F m -3 m'
_space_group_IT_number 225
_space_group_name_Hall '-F 4 2 3'
_cell_length_a 7.3448
_cell_length_b 7.3448
_cell_length_c 7.3448
_cell_angle_alpha 90.00
_cell_angle_beta 90.00
_cell_angle_gamma 90.00
loop_
_atom_site_label
_atom_site_type_symbol
_atom_site_fract_x
_atom_site_fract_y
_atom_site_fract_z
_atom_site_occupancy
Y1 Y 0.2500 0.2500 0.2500 1
Ga1 Ga 0.0000 0.0000 0.0000 1
Br1 Br 0.0000 0.0000 0.5000 1

***

Record 9
# LiCa2Cd2In5 (PBE-GGA, optimized geometry)
# N(E_F) = 2.8 states/eV/f.u.
# Spin magnetization = 0.00 μB/f.u.
# Energy relative to the elements = -0.26 eV/atom
data_LiCa2Cd2In5
_space_group_name_H-M_alt 'P 4/m b m'
_space_group_IT_number 127
_space_group_name_Hall '-P 4 2ab'
_cell_length_a 10.7262
_cell_length_b 10.7262
_cell_length_c 4.4764
_cell_angle_alpha 90.00
_cell_angle_beta 90.00
_cell_angle_gamma 90.00
loop_
_atom_site_label
_atom_site_type_symbol
_atom_site_fract_x
_atom_site_fract_y
_atom_site_fract_z
_atom_site_occupancy
Li1 Li 0.0000 0.0000 0.0000 1
Ca1 Ca 0.1733 0.3267 0.0000 1
Cd1 Cd 0.1267 0.6267 0.0000 1
In1 In 0.0000 0.5000 0.5000 1
In2 In 0.0599 0.8055 0.5000 1

***

Record 10
# K2CaAl2 (PBE-GGA, optimized geometry)
# N(E_F) = 3.8 states/eV/f.u.
# Spin magnetization = 0.00 μB/f.u.
# Energy relative to the elements = 0.27 eV/atom
data_K2CaAl2
_space_group_name_H-M_alt 'P 4/m b m'
_space_group_IT_number 127
_space_group_name_Hall '-P 4 2ab'
_cell_length_a 8.0829
_cell_length_b 8.0829
_cell_length_c 5.9453
_cell_angle_alpha 90.00
_cell_angle_beta 90.00
_cell_angle_gamma 90.00
loop_
_atom_site_label
_atom_site_type_symbol
_atom_site_fract_x
_atom_site_fract_y
_atom_site_fract_z
_atom_site_occupancy
K1 K 0.1743 0.3257 0.0000 1
Ca1 Ca 0.0000 0.0000 0.5000 1
Al1 Al 0.1127 0.6127 0.5000 1

***

Record 11
# ErLuHfMg (PBE-GGA, optimized geometry)
# N(E_F) = 7.2 states/eV/f.u.
# Spin magnetization = 1.69 μB/f.u.
# Energy relative to the elements = 0.19 eV/atom
data_ErLuHfMg
_space_group_name_H-M_alt 'F -4 3 m'
_space_group_IT_number 216
_space_group_name_Hall 'F -4 2 3'
_cell_length_a 7.4478
_cell_length_b 7.4478
_cell_length_c 7.4478
_cell_angle_alpha 90.00
_cell_angle_beta 90.00
_cell_angle_gamma 90.00
loop_
_atom_site_label
_atom_site_type_symbol
_atom_site_fract_x
_atom_site_fract_y
_atom_site_fract_z
_atom_site_occupancy
Er1 Er 0.0000 0.0000 0.0000 1
Lu1 Lu 0.0000 0.0000 0.5000 1
Hf1 Hf 0.2500 0.2500 0.7500 1
Mg1 Mg 0.2500 0.2500 0.2500 1

***

Record 12
# Pu3Al9Ga2 (PBE-GGA, optimized geometry)
# N(E_F) = 26.8 states/eV/f.u.
# Spin magnetization = 17.07 μB/f.u.
# Energy relative to the elements = -0.25 eV/atom
data_Pu3Al9Ga2
_space_group_name_H-M_alt 'I m m m'
_space_group_IT_number 71
_space_group_name_Hall '-I 2 2'
_cell_length_a 4.3748
_cell_length_b 10.0948
_cell_length_c 12.2468
_cell_angle_alpha 90.00
_cell_angle_beta 90.00
_cell_angle_gamma 90.00
loop_
_atom_site_label
_atom_site_type_symbol
_atom_site_fract_x
_atom_site_fract_y
_atom_site_fract_z
_atom_site_occupancy
Pu1 Pu 0.0000 0.0000 0.0000 1
Pu2 Pu 0.0000 0.0000 0.3061 1
Al1 Al 0.0000 0.2746 0.1444 1
Al2 Al 0.0000 0.3723 0.3473 1
Al3 Al 0.0000 0.5000 0.0000 1
Ga1 Ga 0.0000 0.1925 0.5000 1

***

Q: Which value of spin magnetization does entry 9 give?
A: 0.00 μB/f.u.

***

Q: Which formula does entry 7 have?
A: K2LaFe

***

Q: Number 8 is which compound?
A: Y2GaBr

***

Q: Which value of N(E_F) does entry 1 give?
A: 5.5 states/eV/f.u.